# 1
The following is a PBE calculation of an optimized crystal structure of Li4PmIn, from the Alexandria database.

Summary:
Total magnetic moment ... 0.0 μB per formula unit
Space group ... No. 216
DFT formation energy ... -0.1494 eV/atom

Cell: 5.5688 5.5688 5.5688 Å, 60.00 60.00 60.00°
Element x y z (fractional)
Li: 0.1237 0.1237 0.1237
Li: 0.1237 0.1237 0.6288
Li: 0.1237 0.6288 0.1237
Li: 0.6288 0.1237 0.1237
Pm: 0.5000 0.5000 0.5000
In: 0.7500 0.7500 0.7500


# 2
The following is a PBE calculation of an optimized crystal structure of Ca2LaIr2, from the Alexandria database.

Summary:
Total magnetic moment ... 0.0 μB per formula unit
Space group ... No. 139
DFT formation energy ... -0.2869 eV/atom
Polymorph energy (0 for the lowest one) ... 14.9 kJ/mol of atoms

Cell: 7.2028 7.2028 7.2028 Å, 144.57 144.57 50.97°
Element x y z (fractional)
Ca: 0.2500 0.7500 0.5000
Ca: 0.7500 0.2500 0.5000
La: 0.0000 0.0000 0.0000
Ir: 0.4026 0.4026 0.0000
Ir: 0.5974 0.5974 0.0000